This record from Alexandria describes a relaxed structure of MnBeSe2. The functional is GGA-PBE.

abc: 6.5644 3.7488 7.1381
angles: 90.00 86.95 106.61
Atoms (fractional coordinates):
Se  0.9814  0.1025  0.4563
Se  0.9952  0.6098  0.9107
Mn  0.5830  0.9037  0.4639
Be  0.1039  0.1645  0.7445
Se  0.4745  0.3489  0.2093
Se  0.4600  0.3421  0.7026
Mn  0.1510  0.6872  0.2415
Be  0.6476  0.4357  0.9421

ρ ... 4.4 g/cm3
N(E_F) ... 0.083 states/eV/atom

This record from Alexandria describes a relaxed structure of HgSb3Ru. The functional is GGA-PBE.

abc: 5.4578 5.4578 5.4578
angles: 90.00 90.00 90.00
Atoms (fractional coordinates):
Sb  0.0000  0.0000  0.5000
Sb  0.0000  0.5000  0.0000
Ru  0.5000  0.5000  0.5000
Hg  0.0000  0.0000  0.0000
Sb  0.5000  0.0000  0.0000

ρ ... 6.8 g/cm3
Energy relative to the lowest polymorph listed for this composition ... 1200 meV/atom
N(E_F) ... 1.302 states/eV/atom

Going through the records in order, we get ΔE_f (raw) values of -0.47, 1.56 eV/atom.